{"formula": "HfBe2Ir2", "functional": "PBE", "state": "relaxed", "vol_a3_per_atom": 14.1, "polymorph_energy_mev_per_atom": 246, "lattice": [[-1.890, 1.890, 4.939], [1.890, -1.890, 4.939], [1.890, 1.890, -4.939]], "species": ["Ir", "Ir", "Be", "Be", "Hf"], "fractional_positions": [[0.370, 0.370, 0.000], [0.630, 0.630, 0.000], [0.750, 0.250, 0.500], [0.250, 0.750, 0.500], [0.000, 0.000, 0.000]]}